[1]
DFT (PBE) results for NaAc2IrO5 after structural relaxation.

```
data_NaAc2IrO5
_chemical_formula_sum 'Na2 Ac4 Ir2 O10'
_space_group_name_H-M_alt 'I m m m'
_space_group_IT_number 71
_space_group_name_Hall '-I 2 2'
_cell_length_a 4.1552
_cell_length_b 6.3030
_cell_length_c 11.5815
_cell_angle_alpha 90.00
_cell_angle_beta 90.00
_cell_angle_gamma 90.00
loop_
_atom_site_label
_atom_site_fract_x
_atom_site_fract_y
_atom_site_fract_z
Na1 0.0000 0.0000 0.0000
Ac1 0.0000 0.5000 0.2106
Ir1 0.0000 0.0000 0.5000
O1 0.0000 0.2235 0.3622
O2 0.0000 0.5000 0.0000
```

total moment = 0.2 μB per formula unit
formation energy from raw total energies = -2.13 eV per atom
VASP energy = -6.9241 eV per atom

***

[2]
DFT (PBE) results for MgZr3Sc7 after structural relaxation.

```
data_MgZr3Sc7
_chemical_formula_sum 'Mg1 Zr3 Sc7'
_space_group_name_H-M_alt 'P 3 m 1'
_space_group_IT_number 156
_space_group_name_Hall 'P 3 -2"'
_cell_length_a 6.4198
_cell_length_b 6.4198
_cell_length_c 7.6872
_cell_angle_alpha 90.00
_cell_angle_beta 90.00
_cell_angle_gamma 120.00
loop_
_atom_site_label
_atom_site_fract_x
_atom_site_fract_y
_atom_site_fract_z
Mg1 0.0000 0.0000 0.0000
Zr1 0.1715 0.3429 0.6563
Sc1 0.0037 0.5018 0.9865
Sc2 0.3334 0.1667 0.3394
Sc3 0.3333 0.6667 0.3298
```

total moment = 0.0 μB per formula unit
VASP energy = -6.2673 eV per atom

***

[3]
DFT (PBE) results for Na2HF3 after structural relaxation.

```
data_Na2HF3
_chemical_formula_sum 'Na8 H4 F12'
_space_group_name_H-M_alt 'C m c m'
_space_group_IT_number 63
_space_group_name_Hall '-C 2c 2'
_cell_length_a 9.1508
_cell_length_b 5.1631
_cell_length_c 5.9995
_cell_angle_alpha 90.00
_cell_angle_beta 90.00
_cell_angle_gamma 90.00
loop_
_atom_site_label
_atom_site_fract_x
_atom_site_fract_y
_atom_site_fract_z
Na1 0.1798 0.0000 0.0000
H1 0.0000 0.4400 0.2500
F1 0.0000 0.2484 0.2500
F2 0.1585 0.3227 0.7500
```

total moment = 0.1 μB per formula unit
relative energy among the computed polymorphs = 0.0 meV/atom
VASP energy = -4.1835 eV per atom

***

[4]
DFT (PBE) results for CsBa2CaP after structural relaxation.

```
data_CsBa2CaP
_chemical_formula_sum 'Cs1 Ba2 Ca1 P1'
_space_group_name_H-M_alt 'P 4/m m m'
_space_group_IT_number 123
_space_group_name_Hall '-P 4 2'
_cell_length_a 6.5680
_cell_length_b 6.5680
_cell_length_c 5.8547
_cell_angle_alpha 90.00
_cell_angle_beta 90.00
_cell_angle_gamma 90.00
loop_
_atom_site_label
_atom_site_fract_x
_atom_site_fract_y
_atom_site_fract_z
Cs1 0.0000 0.0000 0.0000
Ba1 0.0000 0.5000 0.5000
Ca1 0.5000 0.5000 0.0000
P1 0.5000 0.5000 0.5000
```

total moment = 0.0 μB per formula unit
VASP energy = -2.7618 eV per atom

***

[5]
DFT (PBE) results for SmYHg2 after structural relaxation.

```
data_SmYHg2
_chemical_formula_sum 'Sm3 Y3 Hg6'
_space_group_name_H-M_alt 'R 3 m'
_space_group_IT_number 160
_space_group_name_Hall 'R 3 -2"'
_cell_length_a 3.8281
_cell_length_b 3.8281
_cell_length_c 27.3756
_cell_angle_alpha 90.00
_cell_angle_beta 90.00
_cell_angle_gamma 120.00
loop_
_atom_site_label
_atom_site_fract_x
_atom_site_fract_y
_atom_site_fract_z
Sm1 0.0000 0.0000 0.0000
Y1 0.0000 0.0000 0.8337
Hg1 0.0000 0.0000 0.4181
Hg2 0.0000 0.0000 0.5821
```

total moment = 0.0 μB per formula unit
relative energy among the computed polymorphs = 156.6 meV/atom
VASP energy = -3.2798 eV per atom

***

[6]
DFT (PBE) results for ThCuPd after structural relaxation.

```
data_ThCuPd
_chemical_formula_sum 'Th4 Cu4 Pd4'
_space_group_name_H-M_alt 'C 1 2/m 1'
_space_group_IT_number 12
_space_group_name_Hall '-C 2y'
_cell_length_a 10.3416
_cell_length_b 4.5437
_cell_length_c 7.1132
_cell_angle_alpha 90.00
_cell_angle_beta 132.48
_cell_angle_gamma 90.00
loop_
_atom_site_label
_atom_site_fract_x
_atom_site_fract_y
_atom_site_fract_z
Th1 0.0198 0.0000 0.2725
Cu1 0.1583 0.5000 0.1299
Pd1 0.1797 0.5000 0.6995
```

total moment = 0.0 μB per formula unit
relative energy among the computed polymorphs = 0.0 meV/atom
VASP energy = -6.0947 eV per atom

***

[7]
DFT (PBE) results for KSc2Te after structural relaxation.

```
data_KSc2Te
_chemical_formula_sum 'K4 Sc8 Te4'
_space_group_name_H-M_alt 'I 41/a m d'
_space_group_IT_number 141
_cell_length_a 5.4854
_cell_length_b 5.4854
_cell_length_c 20.8987
_cell_angle_alpha 90.00
_cell_angle_beta 90.00
_cell_angle_gamma 90.00
loop_
_space_group_symop_operation_xyz
'x,y,z'
'-x,-y,-z'
'-y+1/4,x+3/4,z+1/4'
'y+1/4,-x+3/4,-z+1/4'
'-x+1/2,-y,z+1/2'
'x+1/2,y,-z+1/2'
'y+1/4,-x+1/4,z+3/4'
'-y+1/4,x+1/4,-z+3/4'
'x,-y,-z'
'-x,y,z'
'-y+1/4,-x+1/4,-z+3/4'
'y+1/4,x+1/4,z+3/4'
'-x+1/2,y,-z+1/2'
'x+1/2,-y,z+1/2'
'y+1/4,x+3/4,-z+1/4'
'-y+1/4,-x+3/4,z+1/4'
'x+1/2,y+1/2,z+1/2'
'-x+1/2,-y+1/2,-z+1/2'
'-y+3/4,x+1/4,z+3/4'
'y+3/4,-x+1/4,-z+3/4'
'-x,-y+1/2,z'
'x,y+1/2,-z'
'y+3/4,-x+3/4,z+1/4'
'-y+3/4,x+3/4,-z+1/4'
'x+1/2,-y+1/2,-z+1/2'
'-x+1/2,y+1/2,z+1/2'
'-y+3/4,-x+3/4,-z+1/4'
'y+3/4,x+3/4,z+1/4'
'-x,y+1/2,-z'
'x,-y+1/2,z'
'y+3/4,x+1/4,-z+3/4'
'-y+3/4,-x+1/4,z+3/4'
loop_
_atom_site_label
_atom_site_fract_x
_atom_site_fract_y
_atom_site_fract_z
K1 0.0000 0.2500 0.3750
Sc1 0.0000 0.0000 0.0000
Te1 0.0000 0.2500 0.8750
```

total moment = 1.7 μB per formula unit
formation energy from raw total energies = 0.11 eV per atom
VASP energy = -4.1155 eV per atom

***

[8]
DFT (PBE) results for Rb2BaAg2Br6 after structural relaxation.

```
data_Rb2BaAg2Br6
_chemical_formula_sum 'Rb4 Ba2 Ag4 Br12'
_space_group_name_H-M_alt 'C 1 2/m 1'
_space_group_IT_number 12
_space_group_name_Hall '-C 2y'
_cell_length_a 14.4903
_cell_length_b 8.3779
_cell_length_c 8.3955
_cell_angle_alpha 90.00
_cell_angle_beta 118.24
_cell_angle_gamma 90.00
loop_
_atom_site_label
_atom_site_fract_x
_atom_site_fract_y
_atom_site_fract_z
Rb1 0.2355 0.0000 0.1834
Ba1 0.0000 0.0000 0.5000
Ag1 0.0528 0.5000 0.2033
Br1 0.0706 0.2520 0.8298
Br2 0.2436 0.0000 0.6008
```

total moment = 0.0 μB per formula unit
formation energy from raw total energies = -1.32 eV per atom
VASP energy = -3.1056 eV per atom

***

> What is the VASP energy in the fifth record?

-3.2798 eV per atom